Computed, not measured: a relaxed TlP2Se crystal at the PBE level of DFT.

```
4
Lattice="5.708 -1.648 0.000 5.708 1.648 0.000 -0.701 0.000 5.823" Properties=species:S:1:pos:R:3 pbc="T T T"
Tl 0.000 0.000 0.000
P 2.867 0.000 3.530
P 7.848 0.000 2.293
Se 5.357 0.000 2.912
```

Properties
N(E_F): 0.46 states/eV per atom
Space group: No. 12
M_tot: 0.00 μB/cell
ΔE_f (raw): 0.066 eV/atom